Record 1
A geometry-optimized CeMoS structure, computed with PBE.

```
CeMoS
1.0
3.7832 0.0000 0.0000
0.0000 3.7832 0.0000
0.0000 0.0000 8.5515
S Ce Mo
2 2 2
Direct
0.0000 0.5000 0.6495
0.5000 0.0000 0.3505
0.5000 0.0000 0.6863
0.0000 0.5000 0.3137
0.0000 0.5000 0.9356
0.5000 0.0000 0.0644
```

Properties
- Size of the total moment: 0.179 μB per cell
- Energy relative to the elements, uncorrected: -0.826 eV per atom
- Raw total energy: -0.57260 Ry per atom

***

Record 2
A geometry-optimized CeScMo4 structure, computed with PBE.

```
CeScMo4
1.0
-3.7642 -2.9062 -2.6879
0.2449 -5.4571 0.0066
-3.7081 -2.8971 2.7744
Sc Mo Ce
1 4 1
Direct
0.0000 0.0000 0.0000
0.6249 0.6249 0.1252
0.6249 0.1252 0.6249
0.6249 0.6249 0.6249
0.1252 0.6249 0.6249
0.2500 0.2500 0.2500
```

Properties
- Size of the total moment: 0.000 μB per cell
- Calculated formation energy: 115.3 meV per atom
- Raw total energy: -0.67249 Ry per atom

***

Record 3
A geometry-optimized CeSc2Mo structure, computed with PBE.

```
CeSc2Mo
1.0
3.0403 0.0000 0.0000
1.5202 2.6330 0.0000
1.5202 0.8777 10.9737
Sc Mo Ce
2 1 1
Direct
0.0799 0.0799 0.7604
0.9201 0.9201 0.2396
0.0000 0.0000 0.0000
0.5000 0.5000 0.5000
```

Properties
- Size of the total moment: 0.000 μB per cell
- Calculated formation energy: 482.8 meV per atom
- Raw total energy: -0.50524 Ry per atom

***

Record 4
A geometry-optimized CeSc2Mo structure, computed with PBE.

```
CeSc2Mo
1.0
3.2864 0.0000 0.0000
0.0000 3.2864 0.0000
0.0000 0.0000 8.5585
Sc Mo Ce
2 1 1
Direct
0.0000 0.0000 0.8085
0.0000 0.0000 0.1915
0.5000 0.5000 0.0000
0.5000 0.5000 0.5000
```

Properties
- Size of the total moment: 1.226 μB per cell
- Calculated formation energy: 184.5 meV per atom
- Raw total energy: -0.52717 Ry per atom